2
Lattice="0.000 2.838 2.838 2.838 0.000 2.838 2.838 2.838 0.000" Properties=species:S:1:pos:R:3 comment="GaF | Alexandria | GGA-PBE | relaxed" magnetic_moment_mub_per_fu=0.00 dft_energy_ev_per_cell=-7.74 e_form_raw_ev_per_atom=-1.418 density_g_cm3=3.22 spacegroup=F-43m crystal_system=cubic pbc="T T T"
Ga 0.000 0.000 0.000
F 1.419 1.419 1.419

***

6
Lattice="1.785 -7.311 0.000 1.785 7.311 0.000 0.000 0.000 4.152" Properties=species:S:1:pos:R:3 comment="Ga5F | Alexandria | GGA-PBE | relaxed" magnetic_moment_mub_per_fu=0.00 dft_energy_ev_per_cell=-19.11 e_form_raw_ev_per_atom=-0.351 density_g_cm3=5.63 spacegroup=Cmmm crystal_system=orthorhombic pbc="T T T"
Ga 0.000 0.000 0.000
Ga 1.785 4.794 2.076
Ga 1.785 2.326 0.000
Ga 1.785 -2.326 0.000
Ga 1.785 -4.794 2.076
F 1.785 0.000 2.076

***

4
Lattice="4.050 -2.394 0.000 4.050 2.394 0.000 -2.326 0.000 3.680" Properties=species:S:1:pos:R:3 comment="GaF | Alexandria | GGA-PBE | relaxed" magnetic_moment_mub_per_fu=0.00 dft_energy_ev_per_cell=-16.51 e_form_raw_ev_per_atom=-1.679 density_g_cm3=4.13 spacegroup=C2/m crystal_system=monoclinic pbc="T T T"
Ga 0.538 0.000 1.649
Ga 5.236 0.000 2.031
F -1.168 0.000 3.120
F 6.942 0.000 0.559

***

12
Lattice="6.979 0.000 0.000 0.000 6.979 0.000 0.000 0.000 6.979" Properties=species:S:1:pos:R:3 comment="GaF | Alexandria | GGA-PBE | relaxed" magnetic_moment_mub_per_fu=0.00 dft_energy_ev_per_cell=-46.18 e_form_raw_ev_per_atom=-1.399 density_g_cm3=2.60 spacegroup=Pm-3n crystal_system=cubic pbc="T T T"
Ga 0.000 1.745 3.490
Ga 0.000 5.234 3.490
Ga 1.745 3.490 0.000
Ga 3.490 0.000 1.745
Ga 3.490 0.000 5.234
Ga 5.234 3.490 0.000
F 0.000 3.490 1.745
F 0.000 3.490 5.234
F 1.745 0.000 3.490
F 3.490 1.745 0.000
F 3.490 5.234 0.000
F 5.234 0.000 3.490

***

12
Lattice="9.586 0.000 0.000 -4.793 8.302 0.000 0.000 0.000 3.448" Properties=species:S:1:pos:R:3 comment="GaF | Alexandria | GGA-PBE | relaxed" magnetic_moment_mub_per_fu=0.00 dft_energy_ev_per_cell=-47.99 e_form_raw_ev_per_atom=-1.550 density_g_cm3=3.22 spacegroup=P6_3/m crystal_system=hexagonal pbc="T T T"
Ga -3.026 5.546 0.862
Ga 1.503 2.909 0.862
Ga 3.271 0.153 2.586
Ga 1.522 8.149 0.862
Ga 3.290 5.393 2.586
Ga 7.819 2.756 2.586
F -1.385 4.188 0.862
F -0.474 7.408 0.862
F 1.859 5.008 0.862
F 2.934 3.294 2.586
F 5.267 0.894 2.586
F 6.178 4.114 2.586

***

4
Lattice="2.665 0.000 0.000 0.000 4.316 0.000 -1.286 0.000 5.427" Properties=species:S:1:pos:R:3 comment="GaF | Alexandria | GGA-PBE | relaxed" magnetic_moment_mub_per_fu=0.00 dft_energy_ev_per_cell=-16.11 e_form_raw_ev_per_atom=-1.578 density_g_cm3=4.72 spacegroup=P2_1/m crystal_system=monoclinic pbc="T T T"
Ga -0.005 1.079 1.354
Ga 1.385 3.237 4.073
F -0.005 3.237 0.704
F 1.384 1.079 4.723

***

5
Lattice="5.099 0.000 0.000 0.000 5.099 0.000 0.000 0.000 5.099" Properties=species:S:1:pos:R:3 comment="Ga3GeF | Alexandria | GGA-PBE | relaxed" magnetic_moment_mub_per_fu=0.00 dft_energy_ev_per_cell=-15.34 e_form_raw_ev_per_atom=0.046 density_g_cm3=3.77 relative_energy_mev_per_atom=312 spacegroup=Pm-3m crystal_system=cubic pbc="T T T"
Ga 0.000 0.000 2.549
Ga 0.000 2.549 0.000
Ga 2.549 0.000 0.000
Ge 0.000 0.000 0.000
F 2.549 2.549 2.549

***

5
Lattice="4.637 0.000 0.000 0.000 4.637 0.000 0.000 0.000 4.637" Properties=species:S:1:pos:R:3 comment="Ga3GeF | Alexandria | GGA-PBE | relaxed" magnetic_moment_mub_per_fu=0.00 dft_energy_ev_per_cell=-16.90 e_form_raw_ev_per_atom=-0.266 density_g_cm3=5.01 relative_energy_mev_per_atom=0 spacegroup=Pm-3m crystal_system=cubic pbc="T T T"
Ga 0.000 0.000 2.318
Ga 0.000 2.318 0.000
Ga 2.318 0.000 0.000
Ge 2.318 2.318 2.318
F 0.000 0.000 0.000